# MnCo2

A geometry-optimized MnCo2 structure (GGA-PBEsol, Alexandria via LeMat-Bulk).

Results
DFT formation energy = 20.94 kJ per mole of atoms
DOS(E_F) = 8.68 states/eV per cell

Cell and atoms, written as POSCAR:
```
MnCo2
1.0
2.408 0.000 0.000
0.000 2.408 0.000
-1.204 -1.204 10.717
Co Mn
4 2
Cartesian
1.204 0.000 3.688 Co
1.204 0.000 7.030 Co
0.000 0.000 9.047 Co
1.204 1.204 1.671 Co
0.000 0.000 0.000 Mn
0.000 1.204 5.359 Mn
```


# MnCo5

A geometry-optimized MnCo5 structure (GGA-PBEsol, Alexandria via LeMat-Bulk).

Results
DFT formation energy = 4.62 kJ per mole of atoms
DOS(E_F) = 7.57 states/eV per cell

Cell and atoms, written as POSCAR:
```
MnCo5
1.0
-0.623 -2.068 1.149
4.599 -0.168 -0.411
-0.829 2.958 4.875
Mn Co
1 5
Cartesian
0.810 1.224 5.249 Mn
0.000 0.003 0.005 Co
3.104 -0.115 1.477 Co
0.850 -0.453 2.251 Co
-0.031 1.674 2.997 Co
2.300 1.175 3.364 Co
```


# Mn3Co

A geometry-optimized Mn3Co structure (GGA-PBEsol, Alexandria via LeMat-Bulk).

Results
DFT formation energy = 5.07 kJ per mole of atoms
DOS(E_F) = 5.23 states/eV per cell

Cell and atoms, written as POSCAR:
```
Mn3Co
1.0
-0.841 -2.289 -0.138
1.003 -0.565 3.253
-4.382 1.513 1.615
Mn Co
3 1
Cartesian
-2.191 0.756 0.807 Mn
-1.007 -1.052 1.958 Mn
-3.213 -0.290 2.771 Mn
0.000 0.000 0.000 Co
```


# Mn3Co

A geometry-optimized Mn3Co structure (GGA-PBEsol, Alexandria via LeMat-Bulk).

Results
DFT formation energy = 4.04 kJ per mole of atoms
DOS(E_F) = 4.47 states/eV per cell

Cell and atoms, written as POSCAR:
```
Mn3Co
1.0
-2.343 0.086 -0.706
1.187 -0.632 -4.017
-0.699 -3.738 1.865
Mn Co
3 1
Cartesian
-1.521 -1.826 0.580 Mn
-0.578 -0.273 -2.361 Mn
0.244 -2.185 -1.076 Mn
0.000 0.000 0.000 Co
```


# Mn3Co

A geometry-optimized Mn3Co structure (GGA-PBEsol, Alexandria via LeMat-Bulk).

Results
DFT formation energy = 6.46 kJ per mole of atoms
DOS(E_F) = 6.00 states/eV per cell

Cell and atoms, written as POSCAR:
```
Mn3Co
1.0
2.420 0.000 0.000
-1.210 4.036 0.000
0.000 -0.712 4.175
Mn Co
3 1
Cartesian
1.210 1.834 1.038 Mn
1.210 -0.356 2.087 Mn
0.000 1.490 3.137 Mn
0.000 0.000 0.000 Co
```


# Mn7Co

A geometry-optimized Mn7Co structure (GGA-PBEsol, Alexandria via LeMat-Bulk).

Results
DFT formation energy = 6.03 kJ per mole of atoms
DOS(E_F) = 10.31 states/eV per cell

Cell and atoms, written as POSCAR:
```
Mn7Co
1.0
-4.719 0.893 -0.855
-3.423 -2.828 2.021
-2.832 1.764 3.559
Co Mn
1 7
Cartesian
0.000 0.000 0.000 Co
-2.359 0.447 -0.427 Mn
-4.071 -0.967 0.583 Mn
-1.711 -1.414 1.011 Mn
-3.775 1.329 1.352 Mn
-1.416 0.882 1.779 Mn
-3.127 -0.532 2.790 Mn
-5.487 -0.085 2.363 Mn
```